# 1
Material: Ho2Er3Tm3
Method: DFT, PBE-GGA
State: relaxed

Summary:
For the total magnetization, the calculation gives 0.01 μB per atom. The value obtained for the calculated formation energy is 0 meV/atom. The value obtained for the total energy is -4.53 eV per atom.

```
data_Ho2Er3Tm3
_space_group_name_H-M_alt 'A m m 2'
_space_group_IT_number 38
_space_group_name_Hall 'A 2 -2'
_cell_length_a 5.5277
_cell_length_b 7.1342
_cell_length_c 12.3567
_cell_angle_alpha 90.00
_cell_angle_beta 90.00
_cell_angle_gamma 90.00
loop_
_atom_site_label
_atom_site_fract_x
_atom_site_fract_y
_atom_site_fract_z
Ho1 0.0000 0.0000 0.0000
Ho2 0.5000 0.0000 0.3333
Er1 0.0000 0.0000 0.5002
Er2 0.5000 0.2504 0.0834
Tm1 0.0000 0.2504 0.2498
Tm2 0.5000 0.0000 0.8331
```

---

# 2
Material: Na2PtSe3
Method: DFT, PBE-GGA
State: relaxed

Summary:
For the total magnetization, the calculation gives 0.00 μB per atom. The value obtained for the total energy is -3.88 eV per atom.

```
data_Na2PtSe3
_space_group_name_H-M_alt 'C 1 2/m 1'
_space_group_IT_number 12
_space_group_name_Hall '-C 2y'
_cell_length_a 6.7775
_cell_length_b 11.7368
_cell_length_c 7.1975
_cell_angle_alpha 90.00
_cell_angle_beta 108.44
_cell_angle_gamma 90.00
loop_
_atom_site_label
_atom_site_fract_x
_atom_site_fract_y
_atom_site_fract_z
Na1 0.0000 0.0000 0.0000
Na2 0.0000 0.1563 0.5000
Na3 0.0000 0.5000 0.5000
Pt1 0.0000 0.3327 0.0000
Se1 0.1976 0.5000 0.2041
Se2 0.2448 0.3128 0.7952
```